1.
A plane-wave DFT calculation with PBE-GGA was carried out for a relaxed Nd3Ho2Hg3 crystal.

abc: 3.774 5.469 11.706
angles: 103.51 99.28 90.00
Fractional positions:
Nd 0.623 0.623 0.245
Nd 0.377 0.377 0.755
Nd 0.500 0.000 0.000
Ho 0.734 0.234 0.468
Ho 0.266 0.766 0.532
Hg 0.124 0.124 0.247
Hg 0.000 0.500 0.000
Hg 0.876 0.876 0.753

DFT formation energy (eV per atom): -0.354
DOS at the Fermi energy (states/eV/cell): 10.25



2.
A plane-wave DFT calculation with PBE-GGA was carried out for a relaxed NdEuCuIr crystal.

abc: 5.020 5.020 5.020
angles: 60.00 60.00 60.00
Fractional positions:
Eu 0.000 0.000 0.000
Ir 0.250 0.250 0.250
Nd 0.500 0.500 0.500
Cu 0.750 0.750 0.750

DFT formation energy (eV per atom): -0.333
DOS at the Fermi energy (states/eV/cell): 5.08



| no. | total moment (μB/f.u.) |
| --- | --- |
| 1 | 0.8 |
| 2 | 7.0 |